{
  "formula": "CuSi3",
  "functional": "PBE-GGA",
  "state": "relaxed",
  "energy_ev_per_atom": -4.71,
  "crystal_system": "orthorhombic",
  "m_tot_mub_per_fu": 0.00,
  "cell": [[-0.336, -1.941, 4.064], [4.422, -0.447, -0.801], [0.467, 2.449, 1.208]],
  "species": ["Si", "Si", "Si", "Cu"],
  "fractional_positions": [[0.500, 0.500, 0.000], [0.500, 0.000, 0.500], [0.000, 0.500, 0.500], [0.000, 0.000, 0.000]]
}